Entry 1:
Compound: GaAsH
Source: Alexandria
Functional: PBE
Structure: optimized geometry

POSCAR file:
```
GaAsH
1.0
-0.076 -2.748 -0.867
5.857 -0.263 0.317
-0.378 -0.539 6.533
Ga As H
2 2 2
direct
0.820 0.747 0.641 Ga
0.180 0.247 0.359 Ga
0.637 0.882 0.274 As
0.363 0.382 0.726 As
0.083 0.412 0.167 H
0.917 0.912 0.833 H
```

Computed properties:
**E_tot**: -3.526 eV/atom

***

Entry 2:
Compound: GaAsH3
Source: Alexandria
Functional: PBE
Structure: optimized geometry

POSCAR file:
```
GaAsH3
1.0
-2.303 -2.346 1.951
2.713 -0.456 2.655
-1.397 2.984 1.939
H Ga As
3 1 1
direct
0.000 0.000 0.500 H
0.000 0.500 0.000 H
0.500 0.000 0.000 H
0.500 0.500 0.500 Ga
0.000 0.000 0.000 As
```

Computed properties:
**E_tot**: -3.048 eV/atom

***

Which of these has the lowest E_tot? GaAsH

***

Among the records above, which one has the lowest E_tot? GaAsH